First-principles (GGA-PBE) data for a geometry-optimized Sc2CrHg structure, as listed in the Alexandria database.

ΔH_f (0 K)	76	meV per atom
total magnetic moment	1.0001	μB/atom
calculated density	7.1	g/cm³
SG	F-43m (216)

a = 4.8318 Å, b = 4.8318 Å, c = 4.8318 Å
α = 60.00°, β = 60.00°, γ = 60.00°
Closest atoms and distances in Å follow each position.
Sites, in units of the cell vectors:
Sc 0.0000 0.0000 0.0000  4 Hg 2.96, 4 Sc 2.96
Sc 0.2500 0.2500 0.2500  4 Cr 2.96, 4 Sc 2.96
Cr 0.5000 0.5000 0.5000  4 Hg 2.96, 4 Sc 2.96
Hg 0.7500 0.7500 0.7500  4 Cr 2.96, 4 Sc 2.96